Record 1
Tl3CrSb3S8 after structural relaxation. Source: Alexandria via LeMat-Bulk, functional GGA-PBE.

abc: 7.7622 7.7622 8.7564
angles: 116.35 116.35 59.98
With the nearest neighbours (Å) after each atom.
Sites, in units of the cell vectors:
Tl 0.0000 0.0000 0.0000  6 S 3.13-3.19
Tl 0.0000 0.5000 0.0000  6 S 3.14-3.19
Tl 0.5000 0.0000 0.0000  6 S 3.14-3.19
Cr 0.0000 0.0000 0.5000  6 S 2.44
Sb 0.0000 0.5000 0.5000  6 S 2.73-2.74
Sb 0.5000 0.0000 0.5000  6 S 2.73-2.74
Sb 0.5000 0.5000 0.5000  6 S 2.73-2.74
S 0.2112 0.2112 0.6843  1 Cr 2.44
S 0.2112 0.7620 0.6844  1 Cr 2.44
S 0.2380 0.7888 0.3156  1 Cr 2.44
S 0.2638 0.2638 0.2917  3 Sb 2.73
S 0.7362 0.7362 0.7083  3 Sb 2.73
S 0.7620 0.2112 0.6844  1 Cr 2.44
S 0.7888 0.2380 0.3156  1 Cr 2.44
S 0.7888 0.7888 0.3157  1 Cr 2.44

Computed properties:
Density of states at the Fermi level, states/eV per atom: 0.352
Crystal system: monoclinic
E, eV per cell: -67.4
Total magnetization, μB per formula unit: 2.0

---

Record 2
Ho2HgOsC after structural relaxation. Source: Alexandria via LeMat-Bulk, functional GGA-PBE.

abc: 4.9972 4.9972 3.9223
angles: 90.00 90.00 90.00
With the nearest neighbours (Å) after each atom.
Sites, in units of the cell vectors:
Ho 0.0000 0.5000 0.0000  2 C 2.50
Ho 0.5000 0.0000 0.0000  2 C 2.50
Hg 0.0000 0.0000 0.5000  8 Ho 3.18, 4 Os 3.53
Os 0.5000 0.5000 0.5000  2 C 1.96
C 0.5000 0.5000 0.0000  2 Os 1.96

Computed properties:
Density of states at the Fermi level, states/eV per atom: 0.340
Formation enthalpy at 0 K, meV/atom: -445
Crystal system: tetragonal
E, eV per cell: -32.1
Total magnetization, μB per formula unit: 0.0

---

Record 3
Pr4Sm2Ho3 after structural relaxation. Source: Alexandria via LeMat-Bulk, functional GGA-PBE.

abc: 5.7359 5.7359 10.6556
angles: 90.14 90.14 60.08
With the nearest neighbours (Å) after each atom.
Sites, in units of the cell vectors:
Pr 0.0003 0.0003 0.1619  4 Pr 3.45-3.79, 7 Ho 3.60-3.75, 3 Sm 3.77-3.78
Pr 0.9997 0.9997 0.8381  4 Pr 3.45-3.79, 7 Ho 3.60-3.75, 3 Sm 3.77-3.78
Pr 0.3333 0.3333 0.3341  4 Sm 3.31-3.56, 1 Ho 3.54
Pr 0.6667 0.6667 0.6659  4 Sm 3.31-3.56, 1 Ho 3.54
Sm 0.3334 0.3334 0.6686  4 Pr 3.31-3.56, 1 Ho 3.55
Sm 0.6666 0.6666 0.3314  4 Pr 3.31-3.56, 1 Ho 3.55
Ho 0.0000 0.0000 0.5000  8 Pr 3.60-3.76, 6 Sm 3.76-3.77
Ho 0.3333 0.3333 0.0016  3 Ho 3.31, 1 Pr 3.54, 1 Sm 3.55
Ho 0.6667 0.6667 0.9984  3 Ho 3.31, 1 Pr 3.54, 1 Sm 3.55

Computed properties:
Density of states at the Fermi level, states/eV per atom: 1.471
Formation enthalpy at 0 K, meV/atom: 55
Crystal system: monoclinic
E, eV per cell: -41.8
Total magnetization, μB per formula unit: 0.0

---

Record 4
Ce2GaRh6 after structural relaxation. Source: Alexandria via LeMat-Bulk, functional GGA-PBE.

abc: 7.5840 7.5840 7.5840
angles: 152.53 123.83 63.64
With the nearest neighbours (Å) after each atom.
Sites, in units of the cell vectors:
Ce 0.1517 0.1517 0.0000  8 Rh 2.70-2.77
Ce 0.8483 0.8483 0.0000  8 Rh 2.70-2.77
Ga 0.5000 0.5000 0.0000  8 Rh 2.48-2.63
Rh 0.1228 0.3322 0.7906  1 Ga 2.63, 3 Ce 2.76-2.77, 4 Rh 2.82-2.84
Rh 0.2606 0.0000 0.2606  2 Ga 2.48, 2 Ce 2.70
Rh 0.4584 0.6678 0.7906  1 Ga 2.63, 3 Ce 2.76-2.77, 4 Rh 2.82-2.84
Rh 0.5416 0.3322 0.2094  1 Ga 2.63, 3 Ce 2.76-2.77, 4 Rh 2.82-2.84
Rh 0.7394 0.0000 0.7394  2 Ga 2.48, 2 Ce 2.70
Rh 0.8772 0.6678 0.2094  1 Ga 2.63, 3 Ce 2.76-2.77, 4 Rh 2.82-2.84

Computed properties:
Density of states at the Fermi level, states/eV per atom: 0.644
Formation enthalpy at 0 K, meV/atom: -385
Crystal system: orthorhombic
E, eV per cell: -62.5
Total magnetization, μB per formula unit: 0.0

---

Record 5
Mg2CdIr after structural relaxation. Source: Alexandria via LeMat-Bulk, functional GGA-PBE.

abc: 6.5645 6.5645 6.5645
angles: 90.00 90.00 90.00
With the nearest neighbours (Å) after each atom.
Sites, in units of the cell vectors:
Mg 0.0000 0.0000 0.0000  4 Ir 2.84, 4 Mg 2.84
Mg 0.0000 0.5000 0.5000  4 Ir 2.84, 4 Mg 2.84
Mg 0.2500 0.2500 0.2500  4 Cd 2.84, 4 Mg 2.84
Mg 0.2500 0.7500 0.7500  4 Cd 2.84, 4 Mg 2.84
Mg 0.5000 0.0000 0.5000  4 Ir 2.84, 4 Mg 2.84
Mg 0.5000 0.5000 0.0000  4 Ir 2.84, 4 Mg 2.84
Mg 0.7500 0.2500 0.7500  4 Cd 2.84, 4 Mg 2.84
Mg 0.7500 0.7500 0.2500  4 Cd 2.84, 4 Mg 2.84
Cd 0.0000 0.0000 0.5000  4 Mg 2.84, 4 Ir 2.84
Cd 0.0000 0.5000 0.0000  4 Mg 2.84, 4 Ir 2.84
Cd 0.5000 0.0000 0.0000  4 Mg 2.84, 4 Ir 2.84
Cd 0.5000 0.5000 0.5000  4 Mg 2.84, 4 Ir 2.84
Ir 0.2500 0.2500 0.7500  4 Cd 2.84, 4 Mg 2.84
Ir 0.2500 0.7500 0.2500  4 Cd 2.84, 4 Mg 2.84
Ir 0.7500 0.2500 0.2500  4 Cd 2.84, 4 Mg 2.84
Ir 0.7500 0.7500 0.7500  4 Mg 2.84, 4 Cd 2.84

Computed properties:
Density of states at the Fermi level, states/eV per atom: 0.459
Formation enthalpy at 0 K, meV/atom: -166
Crystal system: cubic
E, eV per cell: -54.5
Total magnetization, μB per formula unit: 0.0

---

Record 6
Tb2Pr2In5 after structural relaxation. Source: Alexandria via LeMat-Bulk, functional GGA-PBE.

abc: 9.5084 9.5084 9.5084
angles: 82.35 134.78 115.38
With the nearest neighbours (Å) after each atom.
Sites, in units of the cell vectors:
Tb 0.0000 0.0000 0.0000  6 In 3.10-3.27
Tb 0.0000 0.5000 0.5000  6 In 3.10-3.27
Tb 0.1311 0.8844 0.7467  4 In 3.18-3.30
Tb 0.1377 0.3844 0.2533  4 In 3.18-3.30
Pr 0.5396 0.6928 0.1000  6 In 3.23-3.59, 1 Pr 3.53
Pr 0.5396 0.9396 0.3468  6 In 3.23-3.59, 1 Pr 3.53
Pr 0.5928 0.1928 0.6532  6 In 3.23-3.59, 1 Pr 3.53
Pr 0.5928 0.4396 0.9000  6 In 3.23-3.59, 1 Pr 3.53
In 0.0376 0.6021 0.9355  2 Tb 3.18-3.21, 4 In 3.20-3.21, 2 Pr 3.51
In 0.0516 0.1911 0.5568  2 In 2.81-2.96, 1 Tb 3.10
In 0.0516 0.9948 0.3605  2 In 2.81-2.96, 1 Tb 3.10
In 0.0905 0.3208 0.8555  3 In 2.96-3.20, 2 Tb 3.20-3.27, 1 Pr 3.23
In 0.0905 0.7350 0.2697  3 In 2.96-3.20, 2 Tb 3.20-3.27, 1 Pr 3.23
In 0.4653 0.2350 0.1445  3 In 2.96-3.20, 2 Tb 3.20-3.27, 1 Pr 3.23
In 0.4653 0.8208 0.7303  3 In 2.96-3.20, 2 Tb 3.20-3.27, 1 Pr 3.23
In 0.6343 0.4948 0.4432  2 In 2.81-2.96, 1 Tb 3.10
In 0.6343 0.6911 0.6395  2 In 2.81-2.96, 1 Tb 3.10
In 0.6666 0.1021 0.0645  2 Tb 3.18-3.21, 4 In 3.20-3.21, 2 Pr 3.51

Computed properties:
Density of states at the Fermi level, states/eV per atom: 0.748
Formation enthalpy at 0 K, meV/atom: -294
Crystal system: orthorhombic
E, eV per cell: -70.3
Total magnetization, μB per formula unit: 0.0

---

Record 7
ThInTe after structural relaxation. Source: Alexandria via LeMat-Bulk, functional GGA-PBE.

abc: 12.6741 12.6741 12.6741
angles: 20.85 20.85 20.85
With the nearest neighbours (Å) after each atom.
Sites, in units of the cell vectors:
Th 0.2400 0.2400 0.2400  3 Te 3.12, 4 In 3.36-3.38
Th 0.7600 0.7600 0.7600  3 Te 3.12, 4 In 3.36-3.38
In 0.1490 0.1490 0.1490  3 In 2.96
In 0.8510 0.8510 0.8510  3 In 2.96
Te 0.3823 0.3823 0.3823  3 Th 3.12
Te 0.6177 0.6177 0.6177  3 Th 3.12

Computed properties:
Density of states at the Fermi level, states/eV per atom: 0.353
Crystal system: trigonal
E, eV per cell: -29.9
Total magnetization, μB per formula unit: 0.0

---

Record 8
Hf3PPd after structural relaxation. Source: Alexandria via LeMat-Bulk, functional GGA-PBE.

abc: 4.7514 4.7514 4.7514
angles: 90.00 90.00 90.00
With the nearest neighbours (Å) after each atom.
Sites, in units of the cell vectors:
Hf 0.0000 0.0000 0.5000  2 P 2.38
Hf 0.0000 0.5000 0.0000  2 P 2.38
Hf 0.5000 0.0000 0.0000  2 P 2.38
P 0.0000 0.0000 0.0000  6 Hf 2.38
Pd 0.5000 0.5000 0.5000  12 Hf 3.36

Computed properties:
Excess energy over the best structure of this formula in the dataset, meV per atom: 462
Density of states at the Fermi level, states/eV per atom: 0.602
Formation enthalpy at 0 K, meV/atom: -230
Crystal system: cubic
E, eV per cell: -41.6
Total magnetization, μB per formula unit: 0.0

---

Record 9
AcHf2ScN4 after structural relaxation. Source: Alexandria via LeMat-Bulk, functional GGA-PBE.

abc: 6.7801 6.7801 6.7801
angles: 121.12 119.06 89.86
With the nearest neighbours (Å) after each atom.
Sites, in units of the cell vectors:
Ac 0.5000 0.0000 0.0000  6 N 2.56-2.58
Ac 0.5000 0.5000 0.5000  6 N 2.56-2.58
Hf 0.0000 0.0000 0.0000  6 N 2.35-2.36
Hf 0.0000 0.0000 0.5000  6 N 2.22-2.24
Hf 0.0000 0.5000 0.0000  6 N 2.22-2.24
Hf 0.5000 0.0000 0.5000  6 N 2.35-2.36
Sc 0.0000 0.5000 0.5000  6 N 2.44-2.48
Sc 0.5000 0.5000 0.0000  6 N 2.44-2.48
N 0.2073 0.2433 0.9640  3 Hf 2.22-2.35, 1 Sc 2.48
N 0.2207 0.7567 0.4640  3 Hf 2.22-2.35, 1 Sc 2.48
N 0.2330 0.2247 0.4917  3 Hf 2.24-2.36, 2 Sc 2.44
N 0.2330 0.7413 0.0083  3 Hf 2.24-2.36, 2 Sc 2.44
N 0.7670 0.2587 0.9917  3 Hf 2.24-2.36, 2 Sc 2.44
N 0.7670 0.7753 0.5083  3 Hf 2.24-2.36, 2 Sc 2.44
N 0.7793 0.2433 0.5360  3 Hf 2.22-2.35, 1 Sc 2.48
N 0.7927 0.7567 0.0360  3 Hf 2.22-2.35, 1 Sc 2.48

Computed properties:
Density of states at the Fermi level, states/eV per atom: 0.382
Crystal system: orthorhombic
E, eV per cell: -150.8
Total magnetization, μB per formula unit: 0.0

---

Record 10
Tb2PmTm8 after structural relaxation. Source: Alexandria via LeMat-Bulk, functional GGA-PBE.

abc: 9.0107 9.0107 8.2706
angles: 115.25 115.25 34.84
With the nearest neighbours (Å) after each atom.
Sites, in units of the cell vectors:
Tb 0.2011 0.2011 0.1587  10 Tm 3.20-3.58
Tb 0.7989 0.7989 0.8413  10 Tm 3.20-3.58
Pm 0.5000 0.5000 0.5000  12 Tm 3.30-3.67
Tm 0.0182 0.0182 0.2228  7 Tm 3.40-3.57, 2 Tb 3.41-3.68, 2 Pm 3.64
Tm 0.1593 0.1593 0.6973  8 Tm 3.40-3.73, 3 Tb 3.45-3.55, 2 Pm 3.67
Tm 0.3341 0.3341 0.6071  1 Pm 3.34, 3 Tb 3.38-3.53, 6 Tm 3.40-3.73
Tm 0.3824 0.3824 0.0566  3 Tb 3.20-3.58, 1 Pm 3.30, 3 Tm 3.43
Tm 0.6176 0.6176 0.9434  3 Tb 3.20-3.58, 1 Pm 3.30, 3 Tm 3.43
Tm 0.6659 0.6659 0.3929  1 Pm 3.34, 3 Tb 3.38-3.53, 6 Tm 3.40-3.73
Tm 0.8407 0.8407 0.3027  8 Tm 3.40-3.73, 3 Tb 3.45-3.55, 2 Pm 3.67
Tm 0.9818 0.9818 0.7772  7 Tm 3.40-3.57, 2 Tb 3.41-3.68, 2 Pm 3.64

Computed properties:
Density of states at the Fermi level, states/eV per atom: 1.646
Formation enthalpy at 0 K, meV/atom: 105
Crystal system: monoclinic
E, eV per cell: -48.6
Total magnetization, μB per formula unit: 0.0

---

Record 11
InBi2Ru after structural relaxation. Source: Alexandria via LeMat-Bulk, functional GGA-PBE.

abc: 6.5981 6.5981 12.7459
angles: 90.00 90.00 90.00
With the nearest neighbours (Å) after each atom.
Sites, in units of the cell vectors:
In 0.0000 0.0000 0.0000  4 Bi 3.06
In 0.0000 0.5000 0.2500  4 Bi 3.06
In 0.5000 0.0000 0.7500  4 Bi 3.06
In 0.5000 0.5000 0.5000  4 Bi 3.06
Bi 0.1928 0.2500 0.6250  2 Ru 2.62
Bi 0.2500 0.6928 0.8750  2 Ru 2.62
Bi 0.2500 0.8072 0.3750  2 Ru 2.62
Bi 0.3072 0.2500 0.1250  2 Ru 2.62
Bi 0.6928 0.7500 0.1250  2 Ru 2.62
Bi 0.7500 0.1928 0.3750  2 Ru 2.62
Bi 0.7500 0.3072 0.8750  2 Ru 2.62
Bi 0.8072 0.7500 0.6250  2 Ru 2.62
Ru 0.0000 0.0000 0.5000  4 Bi 2.62
Ru 0.0000 0.5000 0.7500  4 Bi 2.62
Ru 0.5000 0.0000 0.2500  4 Bi 2.62
Ru 0.5000 0.5000 0.0000  4 Bi 2.62

Computed properties:
Density of states at the Fermi level, states/eV per atom: 1.139
Formation enthalpy at 0 K, meV/atom: 491
Crystal system: tetragonal
E, eV per cell: -71.3
Total magnetization, μB per formula unit: 0.0

---

Record 12
K4Mg after structural relaxation. Source: Alexandria via LeMat-Bulk, functional GGA-PBE.

abc: 8.8044 8.8044 8.8044
angles: 90.00 90.00 90.00
With the nearest neighbours (Å) after each atom.
Sites, in units of the cell vectors:
K 0.2500 0.2500 0.2500  2 Mg 3.81
K 0.2500 0.2500 0.7500  2 Mg 3.81
K 0.2500 0.7500 0.2500  2 Mg 3.81
K 0.2500 0.7500 0.7500  2 Mg 3.81
K 0.7500 0.2500 0.2500  2 Mg 3.81
K 0.7500 0.2500 0.7500  2 Mg 3.81
K 0.7500 0.7500 0.2500  2 Mg 3.81
K 0.7500 0.7500 0.7500  2 Mg 3.81
Mg 0.0000 0.0000 0.0000  8 K 3.81
Mg 0.5000 0.5000 0.5000  8 K 3.81

Computed properties:
Excess energy over the best structure of this formula in the dataset, meV per atom: 50
Density of states at the Fermi level, states/eV per atom: 0.739
Formation enthalpy at 0 K, meV/atom: 174
Crystal system: cubic
E, eV per cell: -10.2
Total magnetization, μB per formula unit: 0.0